1.
Below is crystalline NaPr2NdSe4 at its relaxed geometry, with properties calculated at the PBE-GGA level.

Structure (POSCAR):
```
NaPr2NdSe4
1.0
7.3713 0.0000 0.0000
0.0000 4.2392 0.0000
-2.4269 0.0000 6.9650
Na Pr Nd Se
1 2 1 4
Cartesian
0.0000 0.0000 0.0000
2.4722 0.0000 3.4825
3.6857 2.1196 0.0000
-1.2135 2.1196 3.4825
-0.0119 0.0000 5.2288
1.2222 2.1196 1.7412
3.7222 2.1196 5.2238
4.9563 0.0000 1.7362
```

- electronic total energy (eV/f.u.) = -43.73
- uncorrected formation energy (meV/atom) = -1768
- space group = P2/m (10)

2.
Below is crystalline NaCa3Rh at its relaxed geometry, with properties calculated at the PBE-GGA level.

Structure (POSCAR):
```
NaCa3Rh
1.0
-2.9978 2.9978 12.4319
2.9978 -2.9978 12.4319
2.9978 2.9978 -12.4319
Na Ca Rh
2 6 2
Cartesian
0.0000 0.0000 0.0000
0.0000 2.9978 6.2160
0.0000 0.0000 7.0194
0.0000 1.4278 3.4149
0.0000 0.0000 17.8445
-1.5700 2.9978 9.0170
1.5700 2.9978 9.0170
0.0000 4.5679 3.4149
2.9978 0.0000 4.9651
2.9978 0.0000 7.4668
```

- energy relative to the lowest polymorph listed for this composition (eV/f.u.) = 3.97
- formation energy from the elements (meV per atom) = 589.5
- electronic total energy (eV/f.u.) = -11.73
- space group = I-4m2 (119)

3.
Below is crystalline HfHgS2 at its relaxed geometry, with properties calculated at the PBE-GGA level.

Structure (POSCAR):
```
HfHgS2
1.0
10.7265 0.0000 0.0000
0.0000 6.8896 0.0000
-3.0530 0.0000 5.8331
Hf Hg S
4 4 8
Cartesian
0.0000 0.5301 0.0000
-1.5265 6.3595 2.9165
3.8367 2.9147 2.9165
5.3632 3.9749 0.0000
-1.5143 3.4069 2.9137
-3.0408 3.4827 5.8302
2.3224 0.0379 5.8302
3.8489 6.8517 2.9137
0.3056 0.9511 2.4538
-1.2209 5.9385 5.3703
3.5304 2.4948 0.4647
2.0038 4.3948 3.3812
4.1423 2.4937 5.3703
5.6688 4.3959 2.4538
7.3671 0.9500 3.3812
8.8936 5.9396 0.4647
```

- electronic total energy (eV/f.u.) = -22.21
- uncorrected formation energy (meV/atom) = -925
- space group = Cc (9)

4.
Below is crystalline PmSm2Y at its relaxed geometry, with properties calculated at the PBE-GGA level.

Structure (POSCAR):
```
PmSm2Y
1.0
3.6414 0.0000 0.0000
-1.8207 3.1535 0.0000
0.0000 0.0000 35.1726
Pm Sm Y
3 6 3
Cartesian
0.0000 0.0000 0.0000
0.0000 2.1024 23.4484
1.8207 1.0512 11.7242
0.0000 0.0000 14.6738
0.0000 0.0000 20.4704
0.0000 2.1024 2.9496
0.0000 2.1024 8.7462
1.8207 1.0512 26.3980
1.8207 1.0512 32.1947
0.0000 0.0000 29.3111
0.0000 2.1024 17.5869
1.8207 1.0512 5.8627
```

- energy relative to the lowest polymorph listed for this composition (eV/f.u.) = 0.00
- formation energy from the elements (meV per atom) = 9.2
- electronic total energy (eV/f.u.) = -20.62
- space group = R3m (160)

5.
Below is crystalline Pa4Si3Ir at its relaxed geometry, with properties calculated at the PBE-GGA level.

Structure (POSCAR):
```
Pa4Si3Ir
1.0
3.9988 0.0000 0.0000
0.0000 4.0470 0.0000
0.0000 0.0000 10.5720
Pa Si Ir
4 3 1
Cartesian
0.0000 0.0000 0.0000
0.0000 2.0235 5.2319
1.9994 0.0000 7.4916
1.9994 2.0235 2.2446
0.0000 0.0000 2.9249
1.9994 0.0000 4.5787
1.9994 2.0235 9.8448
0.0000 2.0235 8.1947
```

- electronic total energy (eV/f.u.) = -67.76
- uncorrected formation energy (meV/atom) = -581
- space group = Pmm2 (25)

6.
Below is crystalline KFeSe3 at its relaxed geometry, with properties calculated at the PBE-GGA level.

Structure (POSCAR):
```
KFeSe3
1.0
5.7201 0.0000 0.0000
0.0000 5.7201 0.0000
0.0000 0.0000 5.7201
K Fe Se
1 1 3
Cartesian
0.0000 0.0000 0.0000
2.8601 2.8601 2.8601
0.0000 0.0000 2.8601
0.0000 2.8601 0.0000
2.8601 0.0000 0.0000
```

- energy relative to the lowest polymorph listed for this composition (eV/f.u.) = 7.60
- electronic total energy (eV/f.u.) = -12.97
- uncorrected formation energy (meV/atom) = 1409
- space group = Pm-3m (221)

7.
Below is crystalline CsBaO2F at its relaxed geometry, with properties calculated at the PBE-GGA level.

Structure (POSCAR):
```
CsBaO2F
1.0
5.0349 0.0000 0.0000
0.0000 5.0349 0.0000
0.0000 0.0000 5.2112
Cs Ba O F
1 1 2 1
Cartesian
0.0000 0.0000 0.0000
2.5174 2.5174 2.6056
0.0000 2.5174 2.6056
2.5174 0.0000 2.6056
2.5174 2.5174 0.0000
```

- electronic total energy (eV/f.u.) = -23.07
- uncorrected formation energy (meV/atom) = -1702
- space group = P4/mmm (123)

8.
Below is crystalline SrLi2YHg4 at its relaxed geometry, with properties calculated at the PBE-GGA level.

Structure (POSCAR):
```
SrLi2YHg4
1.0
2.5423 1.4678 8.8140
-2.5423 1.4678 8.8140
0.0000 -2.9356 8.8140
Sr Li Y Hg
1 2 1 4
Cartesian
0.0000 0.0000 0.0000
0.0000 0.0000 6.4118
0.0000 0.0000 20.0303
0.0000 0.0000 13.2211
0.0000 0.0000 3.3623
0.0000 0.0000 10.2101
0.0000 0.0000 16.2321
0.0000 0.0000 23.0799
```

- formation energy from the elements (meV per atom) = -417.3
- electronic total energy (eV/f.u.) = -16.52
- space group = R-3m (166)

no.,magnetization (μB/atom)
1,0.00
2,0.02
3,0.00
4,0.00
5,0.00
6,0.13
7,0.40
8,0.00